Material: TlTeBr2
Method: DFT, PBE-GGA
State: relaxed

Values from the calculation:
- energy above the lowest structure with this stoichiometry (meV/atom) = 212
- E_form (uncorrected) (eV per atom) = -0.098
- space group = Cmmm
- magnetic moment (μB/atom) = 0.0013

```
4
Lattice="2.5304 -2.5879 0.0000 2.5304 2.5879 0.0000 0.0000 0.0000 8.9654" Properties=species:S:1:pos:R:3 pbc="T T T"
Tl 0.0000 0.0000 0.0000
Te 0.0000 0.0000 4.4827
Br 2.5304 0.0000 2.1189
Br 2.5304 0.0000 6.8466
```